[1]
Here is a relaxed Tl2CuSe4 crystal from the Alexandria database. Energies are from PBE-GGA.

a b c (Å): 7.657 7.666 7.712
angles (deg): 93.69 114.98 96.65
Atoms (fractional coordinates):
1 Tl 0.000 0.000 0.000
2 Tl 0.151 0.030 0.590
3 Tl 0.303 0.542 0.014
4 Tl 0.613 0.084 0.458
5 Cu 0.459 0.565 0.567
6 Cu 0.890 0.627 0.289
7 Se 0.260 0.764 0.360
8 Se 0.295 0.303 0.341
9 Se 0.530 0.833 0.784
10 Se 0.552 0.347 0.786
11 Se 0.702 0.849 0.141
12 Se 0.817 0.669 0.576
13 Se 0.869 0.411 0.039
14 Se 0.962 0.427 0.523

Computed properties:
uncorrected formation energy	-158	meV per atom
symmetry	P1 (1)
raw total energy	-47.74	eV/cell

[2]
Here is a relaxed TlCu2Se crystal from the Alexandria database. Energies are from PBE-GGA.

a b c (Å): 3.999 6.211 6.773
angles (deg): 90.00 90.00 90.00
Atoms (fractional coordinates):
1 Tl 0.000 0.000 0.000
2 Tl 0.500 0.500 0.500
3 Cu 0.000 0.500 0.207
4 Cu 0.000 0.500 0.793
5 Cu 0.500 0.000 0.293
6 Cu 0.500 0.000 0.707
7 Se 0.000 0.000 0.500
8 Se 0.500 0.500 0.000

Computed properties:
polymorph energy (0 for the lowest one)	0.175	eV per atom
uncorrected formation energy	204	meV per atom
symmetry	Immm (71)
raw total energy	-26.46	eV/cell

[3]
Here is a relaxed TlCu2Se crystal from the Alexandria database. Energies are from PBE-GGA.

a b c (Å): 6.787 6.787 6.787
angles (deg): 90.00 90.00 90.00
Atoms (fractional coordinates):
1 Tl 0.000 0.000 0.000
2 Tl 0.000 0.500 0.500
3 Tl 0.500 0.000 0.500
4 Tl 0.500 0.500 0.000
5 Cu 0.000 0.000 0.500
6 Cu 0.000 0.500 0.000
7 Cu 0.250 0.250 0.250
8 Cu 0.250 0.750 0.750
9 Cu 0.500 0.000 0.000
10 Cu 0.500 0.500 0.500
11 Cu 0.750 0.250 0.750
12 Cu 0.750 0.750 0.250
13 Se 0.250 0.250 0.750
14 Se 0.250 0.750 0.250
15 Se 0.750 0.250 0.250
16 Se 0.750 0.750 0.750

Computed properties:
polymorph energy (0 for the lowest one)	0.414	eV per atom
uncorrected formation energy	443	meV per atom
symmetry	F-43m (216)
raw total energy	-49.08	eV/cell

[4]
Here is a relaxed TlCuSe4 crystal from the Alexandria database. Energies are from PBE-GGA.

a b c (Å): 4.894 18.949 7.270
angles (deg): 90.00 90.00 90.00
Atoms (fractional coordinates):
1 Tl 0.000 0.170 0.250
2 Tl 0.000 0.830 0.750
3 Tl 0.500 0.330 0.750
4 Tl 0.500 0.670 0.250
5 Cu 0.000 0.441 0.250
6 Cu 0.000 0.559 0.750
7 Cu 0.500 0.059 0.750
8 Cu 0.500 0.941 0.250
9 Se 0.229 0.021 0.032
10 Se 0.229 0.979 0.532
11 Se 0.232 0.171 0.690
12 Se 0.232 0.829 0.190
13 Se 0.268 0.329 0.190
14 Se 0.268 0.671 0.690
15 Se 0.271 0.479 0.532
16 Se 0.271 0.521 0.032
17 Se 0.729 0.479 0.968
18 Se 0.729 0.521 0.468
19 Se 0.732 0.329 0.310
20 Se 0.732 0.671 0.810
21 Se 0.768 0.171 0.810
22 Se 0.768 0.829 0.310
23 Se 0.771 0.021 0.468
24 Se 0.771 0.979 0.968

Computed properties:
polymorph energy (0 for the lowest one)	0.000	eV per atom
uncorrected formation energy	-87	meV per atom
symmetry	Pbcn (60)
raw total energy	-83.69	eV/cell

[5]
Here is a relaxed Tl3Cu5Se12 crystal from the Alexandria database. Energies are from PBE-GGA.

a b c (Å): 13.693 13.693 13.693
angles (deg): 109.47 109.47 109.47
Atoms (fractional coordinates):
1 Tl 0.125 0.250 0.375
2 Tl 0.125 0.375 0.750
3 Tl 0.250 0.375 0.125
4 Tl 0.250 0.875 0.625
5 Tl 0.375 0.125 0.250
6 Tl 0.375 0.750 0.125
7 Tl 0.625 0.250 0.875
8 Tl 0.625 0.875 0.750
9 Tl 0.750 0.125 0.375
10 Tl 0.750 0.625 0.875
11 Tl 0.875 0.625 0.250
12 Tl 0.875 0.750 0.625
13 Cu 0.000 0.000 0.000
14 Cu 0.000 0.000 0.500
15 Cu 0.000 0.500 0.000
16 Cu 0.000 0.500 0.500
17 Cu 0.125 0.750 0.875
18 Cu 0.125 0.875 0.250
19 Cu 0.250 0.125 0.875
20 Cu 0.250 0.625 0.375
21 Cu 0.375 0.250 0.625
22 Cu 0.375 0.625 0.750
23 Cu 0.500 0.000 0.000
24 Cu 0.500 0.000 0.500
25 Cu 0.500 0.500 0.000
26 Cu 0.500 0.500 0.500
27 Cu 0.625 0.375 0.250
28 Cu 0.625 0.750 0.375
29 Cu 0.750 0.375 0.625
30 Cu 0.750 0.875 0.125
31 Cu 0.875 0.125 0.750
32 Cu 0.875 0.250 0.125
33 Se 0.018 0.190 0.132
34 Se 0.018 0.329 0.886
35 Se 0.057 0.690 0.671
36 Se 0.057 0.868 0.386
37 Se 0.114 0.632 0.443
38 Se 0.114 0.982 0.671
39 Se 0.132 0.018 0.190
40 Se 0.132 0.614 0.943
41 Se 0.171 0.190 0.557
42 Se 0.171 0.482 0.614
43 Se 0.190 0.132 0.018
44 Se 0.190 0.557 0.171
45 Se 0.310 0.329 0.943
46 Se 0.310 0.482 0.368
47 Se 0.329 0.886 0.018
48 Se 0.329 0.943 0.310
49 Se 0.368 0.310 0.482
50 Se 0.368 0.557 0.886
51 Se 0.386 0.057 0.868
52 Se 0.386 0.829 0.518
53 Se 0.443 0.114 0.632
54 Se 0.443 0.829 0.810
55 Se 0.482 0.368 0.310
56 Se 0.482 0.614 0.171
57 Se 0.518 0.386 0.829
58 Se 0.518 0.632 0.690
59 Se 0.557 0.171 0.190
60 Se 0.557 0.886 0.368
61 Se 0.614 0.171 0.482
62 Se 0.614 0.943 0.132
63 Se 0.632 0.443 0.114
64 Se 0.632 0.690 0.518
65 Se 0.671 0.057 0.690
66 Se 0.671 0.114 0.982
67 Se 0.690 0.518 0.632
68 Se 0.690 0.671 0.057
69 Se 0.810 0.443 0.829
70 Se 0.810 0.868 0.982
71 Se 0.829 0.518 0.386
72 Se 0.829 0.810 0.443
73 Se 0.868 0.386 0.057
74 Se 0.868 0.982 0.810
75 Se 0.886 0.018 0.329
76 Se 0.886 0.368 0.557
77 Se 0.943 0.132 0.614
78 Se 0.943 0.310 0.329
79 Se 0.982 0.671 0.114
80 Se 0.982 0.810 0.868

Computed properties:
uncorrected formation energy	54	meV per atom
symmetry	Ia-3d (230)
raw total energy	-273.27	eV/cell

[6]
Here is a relaxed TlCu2Se crystal from the Alexandria database. Energies are from PBE-GGA.

a b c (Å): 3.996 3.996 18.440
angles (deg): 90.00 90.00 120.00
Atoms (fractional coordinates):
1 Tl 0.000 0.000 0.000
2 Tl 0.333 0.667 0.667
3 Tl 0.667 0.333 0.333
4 Cu 0.000 0.000 0.479
5 Cu 0.000 0.000 0.759
6 Cu 0.333 0.667 0.146
7 Cu 0.333 0.667 0.425
8 Cu 0.667 0.333 0.092
9 Cu 0.667 0.333 0.813
10 Se 0.000 0.000 0.183
11 Se 0.333 0.667 0.849
12 Se 0.667 0.333 0.516

Computed properties:
polymorph energy (0 for the lowest one)	0.000	eV per atom
uncorrected formation energy	29	meV per atom
symmetry	R3m (160)
raw total energy	-41.78	eV/cell